! Ce4Sn25Pd12 (SCAN, PBEsol geometry); values from VASP
&SYSTEM
  ibrav = 0, nat = 41, ntyp = 3
/
ATOMIC_SPECIES
Ce 140.12 Ce.upf
Sn 118.71 Sn.upf
Pd 106.42 Pd.upf
CELL_PARAMETERS angstrom
-6.1104 6.1104 6.1104
6.1104 -6.1104 6.1104
6.1104 6.1104 -6.1104
ATOMIC_POSITIONS angstrom
Ce 3.0552 3.0552 -3.0552
Ce 3.0552 -3.0552 3.0552
Ce -3.0552 3.0552 3.0552
Ce 3.0552 3.0552 3.0552
Sn 0.0000 0.0000 0.0000
Sn 6.1104 -1.4863 1.5859
Sn 6.1104 4.5682 -3.0931
Sn 3.0172 0.0000 1.5422
Sn 9.2035 0.0000 1.5422
Sn 1.5422 3.0172 0.0000
Sn 4.5682 -3.0931 6.1104
Sn 6.1104 1.4863 1.5859
Sn 4.6241 4.5245 0.0000
Sn 7.5967 4.5245 0.0000
Sn 0.0000 1.5422 3.0172
Sn 1.5859 6.1104 -1.4863
Sn 4.5245 0.0000 4.6241
Sn 1.5859 6.1104 1.4863
Sn 4.5245 0.0000 7.5967
Sn 6.1104 4.5682 3.0931
Sn -1.4863 1.5859 6.1104
Sn 1.4863 1.5859 6.1104
Sn 0.0000 4.6241 4.5245
Sn 1.5422 9.2035 0.0000
Sn 4.5682 3.0931 6.1104
Sn -3.0931 6.1104 4.5682
Sn 3.0931 6.1104 4.5682
Sn 0.0000 1.5422 9.2035
Sn 0.0000 7.5967 4.5245
Pd 6.1104 -2.1714 4.1224
Pd 3.9390 1.9880 0.0000
Pd 8.2818 1.9880 0.0000
Pd 4.1224 6.1104 -2.1714
Pd 1.9880 0.0000 3.9390
Pd 0.0000 3.9390 1.9880
Pd 6.1104 2.1714 4.1224
Pd 4.1224 6.1104 2.1714
Pd 1.9880 0.0000 8.2818
Pd -2.1714 4.1224 6.1104
Pd 2.1714 4.1224 6.1104
Pd 0.0000 8.2818 1.9880
! ΔH_f (0 K): -0.5106 eV per atom
! V: 912.57 Å³ per cell

=====

! AgF3 (SCAN, PBEsol geometry); values from VASP
&SYSTEM
  ibrav = 0, nat = 24, ntyp = 2
/
ATOMIC_SPECIES
Ag 107.87 Ag.upf
F 19.00 F.upf
CELL_PARAMETERS angstrom
5.0264 0.0000 0.0000
-2.5132 4.3530 0.0000
0.0000 0.0000 15.1087
ATOMIC_POSITIONS angstrom
Ag 0.0000 2.5322 3.7772
Ag -0.3202 3.0868 13.8496
Ag 0.3202 3.0868 8.8134
Ag 2.1930 1.2661 1.2591
Ag 2.8334 1.2661 6.2953
Ag 2.5132 1.8207 11.3315
F -0.6358 1.1013 5.0362
F -1.8774 3.2517 12.5906
F -0.5908 1.9261 10.0461
F -1.1405 2.8782 7.5807
F 1.2716 0.0000 0.0000
F 0.6358 1.1013 2.5181
F 0.5908 1.9261 12.6170
F -0.5497 3.9016 5.0099
F 1.9635 0.4514 10.0988
F 1.3726 1.4747 7.5280
F 1.1405 2.8782 15.0823
F 0.5497 3.9016 2.5445
F 3.0629 0.4514 12.5642
F 1.9224 2.4269 5.0626
F 3.7547 0.0000 7.5544
F 1.8774 3.2517 10.0725
F 3.6537 1.4747 0.0264
F 3.1040 2.4269 2.4917
! Energy relative to the elements, uncorrected: -1105 meV per atom
! V: 330.57 Å³ per cell

=====

! Tl2HgSb (SCAN, PBEsol geometry); values from VASP
&SYSTEM
  ibrav = 0, nat = 4, ntyp = 3
/
ATOMIC_SPECIES
Tl 204.38 Tl.upf
Hg 200.59 Hg.upf
Sb 121.76 Sb.upf
CELL_PARAMETERS angstrom
4.5433 0.0000 0.0000
0.0000 4.5433 0.0000
0.0000 0.0000 5.1781
ATOMIC_POSITIONS angstrom
Tl 0.0000 2.2717 0.0000
Tl 2.2717 0.0000 0.0000
Hg 0.0000 0.0000 2.5891
Sb 2.2717 2.2717 2.5891
! Energy above the most stable polymorph in this dataset: 0.055 eV per atom
! Energy relative to the elements, uncorrected: 56 meV per atom
! V: 106.89 Å³ per cell

=====

What is the V in the second record? 330.57 Å³ per cell